Al2CoW | PBE-GGA | optimized geometry

Total moment: 0.650 μB/atom
Energy above the lowest structure with this stoichiometry: 1.34 eV per formula unit
Density of states at the Fermi level: 0.484 states/eV per atom
Uncorrected energy: -6.81 eV per atom
Calculated formation energy: 0.08 eV per atom
V: 225.2 Å³ per cell

Cell lengths 6.0836, 6.0836, 6.0836 Å; angles 90.00, 90.00, 90.00 degrees
With the nearest neighbours (Å) after each atom.
Space group F-43m (No. 216)
Unique sites:
Al (0.0000, 0.0000, 0.0000) [4 per cell]  4 Al 2.63, 4 W 2.63
Al (0.2500, 0.2500, 0.2500) [4 per cell]  4 Co 2.63, 4 Al 2.63
Co (0.0000, 0.0000, 0.5000) [4 per cell]  4 W 2.63, 4 Al 2.63
W (0.2500, 0.2500, 0.7500) [4 per cell]  4 Al 2.63, 4 Co 2.63